# GGA-PBE Tb6Ge2Te3Se, relaxed
data_Tb6Ge2Te3Se
_cell_length_a 4.2402
_cell_length_b 8.6256
_cell_length_c 9.6099
_cell_angle_alpha 104.27
_cell_angle_beta 102.75
_cell_angle_gamma 90.00
_space_group_name_H-M_alt 'P 1'
_space_group_IT_number 1
_space_group_name_Hall 'P 1'
loop_
_atom_site_label
_atom_site_type_symbol
_atom_site_fract_x
_atom_site_fract_y
_atom_site_fract_z
_atom_site_occupancy
Tb1 Tb 0.3358 0.8950 0.6716 1
Tb2 Tb 0.6732 0.5659 0.3464 1
Tb3 Tb 0.6642 0.1050 0.3284 1
Tb4 Tb 0.0101 0.2409 0.0201 1
Tb5 Tb 0.9899 0.7591 0.9799 1
Tb6 Tb 0.3268 0.4341 0.6536 1
Ge1 Ge 0.8334 0.6684 0.6667 1
Ge2 Ge 0.1666 0.3316 0.3333 1
Te1 Te 0.5000 0.5000 0.0000 1
Te2 Te 0.8361 0.1664 0.6723 1
Te3 Te 0.1639 0.8336 0.3277 1
Se1 Se 0.5000 0.0000 0.0000 1
# Volume ... 27.64 A^3/atom
# DOS at the Fermi energy ... 4.364 states/eV/cell
# E_form (uncorrected) ... -1.3566 eV/atom
# Total magnetization ... 0.000 μB per atom